## a
SrOsBr3 | PBE | optimized geometry

Properties
M_tot (Bohr magnetons per cell): 5.0

Unit cell a=5.9092 b=5.9092 c=5.9092 alpha=90.00 beta=90.00 gamma=90.00
With the nearest neighbours (Å) after each atom.
Space group Pm-3m (No. 221)
Inequivalent atoms, fractional coordinates:
Sr: 0.0000 0.0000 0.0000 [1 per cell]  6 Br 2.95
Os: 0.5000 0.5000 0.5000 [1 per cell]  12 Br 4.18
Br: 0.0000 0.0000 0.5000 [3 per cell]  2 Sr 2.95

## b
SrOsBr3 | PBE | optimized geometry

Properties
M_tot (Bohr magnetons per cell): 0.0

Unit cell a=5.1351 b=5.1351 c=5.1351 alpha=90.00 beta=90.00 gamma=90.00
With the nearest neighbours (Å) after each atom.
Space group Pm-3m (No. 221)
Inequivalent atoms, fractional coordinates:
Sr: 0.0000 0.0000 0.0000 [1 per cell]  12 Br 3.63
Os: 0.5000 0.5000 0.5000 [1 per cell]  6 Br 2.57
Br: 0.0000 0.5000 0.5000 [3 per cell]  2 Os 2.57

Consider the structures shown above. The least stable of them is a.